Density functional theory data (GGA-PBE) for Ce4PuZn after structural relaxation.

```
data_Ce4PuZn
_cell_length_a 8.992
_cell_length_b 7.198
_cell_length_c 12.229
_cell_angle_alpha 90.00
_cell_angle_beta 128.36
_cell_angle_gamma 90.00
_symmetry_space_group_name_H-M 'P 1 21/c 1'
_symmetry_Int_Tables_number 14
loop_
_symmetry_equiv_pos_as_xyz
'x,y,z'
'-x,-y,-z'
'-x,y+1/2,-z+1/2'
'x,-y+1/2,z+1/2'
loop_
_atom_site_label
_atom_site_type_symbol
_atom_site_fract_x
_atom_site_fract_y
_atom_site_fract_z
_atom_site_occupancy
Ce1 Ce 0.078 0.113 0.419 1
Ce2 Ce 0.195 0.584 0.505 1
Ce3 Ce 0.269 0.200 0.790 1
Ce4 Ce 0.330 0.689 0.853 1
Pu1 Pu 0.004 0.092 0.782 1
Zn1 Zn 0.428 0.569 0.192 1
```

Calculated values
Energy: -157.62 eV/cell
V: 620.56 Å³ per cell
ΔH_f (0 K): -0.01 eV per atom
Energy relative to the lowest polymorph listed for this composition: 0.0 kJ per mole of atoms
Magnetization: 0.00 μB per formula unit